# 1
Density functional theory data (GGA-PBE) for crystalline Ce2DyHg5 at its relaxed geometry.

Output
**Energy of formation from the pure elements**: -332 meV per atom
**Fermi-level density of states**: 16.96 states/eV per cell
**Total magnetic moment**: 2.2 μB per formula unit
**Calculated volume**: 25.7 Å³ per atom

Geometry as POSCAR:
```
Ce2DyHg5
1.0
5.111 0.000 0.000
0.000 5.111 0.000
-2.555 -2.555 7.870
Hg Ce Dy
5 2 1
direct
0.118 0.618 0.236
0.618 0.118 0.236
0.382 0.882 0.764
0.500 0.500 0.000
0.882 0.382 0.764
0.737 0.737 0.475
0.263 0.263 0.525
0.000 0.000 0.000
```

---

# 2
Density functional theory data (GGA-PBE) for crystalline CeDyHg5 at its relaxed geometry.

Output
**Energy of formation from the pure elements**: -238 meV per atom
**Fermi-level density of states**: 11.05 states/eV per cell
**Total magnetic moment**: 1.1 μB per formula unit
**Calculated volume**: 27.0 Å³ per atom

Geometry as POSCAR:
```
CeDyHg5
1.0
5.197 0.000 0.000
0.000 5.197 0.000
0.000 0.000 7.008
Hg Ce Dy
5 1 1
direct
0.000 0.500 0.226
0.500 0.500 0.500
0.500 0.000 0.226
0.500 0.000 0.774
0.000 0.500 0.774
0.000 0.000 0.500
0.500 0.500 0.000
```

---

# 3
Density functional theory data (GGA-PBE) for crystalline CeDy5Hg4 at its relaxed geometry.

Output
**Energy of formation from the pure elements**: -364 meV per atom
**Fermi-level density of states**: 11.65 states/eV per cell
**Total magnetic moment**: 0.3 μB per formula unit
**Calculated volume**: 26.6 Å³ per atom

Geometry as POSCAR:
```
CeDy5Hg4
1.0
3.682 0.000 0.000
0.000 3.682 0.000
0.000 0.000 19.620
Dy Hg Ce
5 4 1
direct
0.500 0.500 0.115
0.500 0.500 0.308
0.500 0.500 0.692
0.500 0.500 0.500
0.500 0.500 0.885
0.000 0.000 0.210
0.000 0.000 0.596
0.000 0.000 0.790
0.000 0.000 0.404
0.000 0.000 0.000
```

---

# 4
Density functional theory data (GGA-PBE) for crystalline Ce3DyHg4 at its relaxed geometry.

Output
**Energy of formation from the pure elements**: -335 meV per atom
**Fermi-level density of states**: 25.83 states/eV per cell
**Total magnetic moment**: 4.3 μB per formula unit
**Calculated volume**: 27.4 Å³ per atom

Geometry as POSCAR:
```
Ce3DyHg4
1.0
-2.531 -2.630 -0.757
-0.380 -0.683 3.645
-11.468 10.796 0.828
Hg Ce Dy
4 3 1
direct
0.000 0.000 0.627
0.000 0.000 0.114
0.000 0.000 0.373
0.000 0.000 0.886
0.500 0.500 0.500
0.500 0.500 0.245
0.500 0.500 0.755
0.500 0.500 0.000
```

---

# 5
Density functional theory data (GGA-PBE) for crystalline CeDy2Hg4 at its relaxed geometry.

Output
**Energy of formation from the pure elements**: -269 meV per atom
**Fermi-level density of states**: 10.42 states/eV per cell
**Relative energy among the computed polymorphs**: 0 meV/atom
**Total magnetic moment**: 1.2 μB per formula unit
**Calculated volume**: 28.4 Å³ per atom

Geometry as POSCAR:
```
CeDy2Hg4
1.0
-4.894 1.639 -0.950
0.938 -0.190 -5.160
-2.265 -6.859 -0.160
Ce Dy Hg
1 2 4
direct
0.500 0.500 0.000
0.500 0.500 0.500
0.000 0.000 0.000
0.000 0.500 0.268
0.500 0.000 0.732
0.000 0.500 0.732
0.500 0.000 0.268
```

---

# 6
Density functional theory data (GGA-PBE) for crystalline Ce2DyHg3 at its relaxed geometry.

Output
**Energy of formation from the pure elements**: -352 meV per atom
**Fermi-level density of states**: 17.71 states/eV per cell
**Total magnetic moment**: 2.9 μB per formula unit
**Calculated volume**: 27.2 Å³ per atom

Geometry as POSCAR:
```
Ce2DyHg3
1.0
3.709 0.000 0.000
0.000 3.709 0.000
0.000 0.000 11.865
Ce Hg Dy
2 3 1
direct
0.500 0.500 0.171
0.500 0.500 0.829
0.000 0.000 0.000
0.000 0.000 0.348
0.000 0.000 0.652
0.500 0.500 0.500
```